Record 1
The following is a PBE calculation of a relaxed structure of Mn2BeSi, from Alexandria.

Summary:
The uncorrected formation energy comes out at -182 meV/atom. The calculation puts the mass density at 5.9 Mg/m³.

Cell: 5.505 5.505 5.505 Å, 90.00 90.00 90.00°
Space group F-43m (No. 216)
Asymmetric unit:
Mn 0.000 0.000 0.000 (multiplicity 4)
Mn 0.250 0.250 0.250 (multiplicity 4)
Be 0.000 0.000 0.500 (multiplicity 4)
Si 0.250 0.250 0.750 (multiplicity 4)


Record 2
The following is a PBE calculation of a relaxed structure of Mn2BeSi, from Alexandria.

Summary:
The uncorrected formation energy comes out at -95 meV/atom. The calculation puts the mass density at 5.8 Mg/m³.

Cell: 2.487 3.690 4.668 Å, 90.00 99.50 90.00°
Space group P2/m (No. 10)
Asymmetric unit:
Mn 0.239 0.000 0.240 (multiplicity 2)
Be 0.500 0.500 0.000 (multiplicity 1)
Si 0.000 0.500 0.500 (multiplicity 1)


Record 3
The following is a PBE calculation of a relaxed structure of Mn2BeSi, from Alexandria.

Summary:
The uncorrected formation energy comes out at -183 meV/atom. The calculation puts the mass density at 5.7 Mg/m³.

Cell: 2.606 2.606 6.297 Å, 90.00 90.00 90.00°
Space group P4/mmm (No. 123)
Asymmetric unit:
Mn 0.000 0.000 0.238 (multiplicity 2)
Be 0.500 0.500 0.000 (multiplicity 1)
Si 0.500 0.500 0.500 (multiplicity 1)


Record 4
The following is a PBE calculation of a relaxed structure of MnBeSi3, from Alexandria.

Summary:
As for the energy relative to the lowest polymorph listed for this composition: 434 meV per atom. The uncorrected formation energy comes out at 1119 meV/atom. The calculation puts the mass density at 3.4 Mg/m³.

Cell: 4.156 4.156 4.156 Å, 90.00 90.00 90.00°
Space group Pm-3m (No. 221)
Asymmetric unit:
Mn 0.000 0.000 0.000 (multiplicity 1)
Be 0.500 0.500 0.500 (multiplicity 1)
Si 0.000 0.500 0.500 (multiplicity 3)


Record 5
The following is a PBE calculation of a relaxed structure of MnBe2Si, from Alexandria.

Summary:
The uncorrected formation energy comes out at -56 meV/atom. The calculation puts the mass density at 4.1 Mg/m³.

Cell: 2.530 3.708 4.381 Å, 90.00 90.00 90.00°
Space group Pmmm (No. 47)
Asymmetric unit:
Mn 0.000 0.000 0.000 (multiplicity 1)
Be 0.500 0.500 0.227 (multiplicity 2)
Si 0.500 0.000 0.500 (multiplicity 1)


Record 6
The following is a PBE calculation of a relaxed structure of MnBe2Si, from Alexandria.

Summary:
The uncorrected formation energy comes out at -77 meV/atom. The calculation puts the mass density at 4.0 Mg/m³.

Cell: 2.545 3.603 4.545 Å, 90.00 90.31 90.00°
Space group Pm (No. 6)
Asymmetric unit:
Mn 0.000 0.000 0.000 (multiplicity 1)
Be 0.469 0.500 0.248 (multiplicity 1)
Be 0.575 0.000 0.475 (multiplicity 1)
Si 0.492 0.500 0.762 (multiplicity 1)


Record 7
The following is a PBE calculation of a relaxed structure of Mn2BeSi, from Alexandria.

Summary:
The uncorrected formation energy comes out at -200 meV/atom. The calculation puts the mass density at 5.9 Mg/m³.

Cell: 2.834 3.773 7.752 Å, 90.00 90.00 90.00°
Space group Imm2 (No. 44)
Asymmetric unit:
Mn 0.000 0.000 0.000 (multiplicity 2)
Mn 0.000 0.500 0.256 (multiplicity 2)
Be 0.000 0.000 0.509 (multiplicity 2)
Si 0.000 0.500 0.754 (multiplicity 2)


Record 8
The following is a PBE calculation of a relaxed structure of MnBe2Si, from Alexandria.

Summary:
The uncorrected formation energy comes out at 208 meV/atom. The calculation puts the mass density at 4.0 Mg/m³.

Cell: 2.387 2.387 7.371 Å, 90.00 90.00 90.00°
Space group P4/mmm (No. 123)
Asymmetric unit:
Mn 0.000 0.000 0.000 (multiplicity 1)
Be 0.500 0.500 0.227 (multiplicity 2)
Si 0.000 0.000 0.500 (multiplicity 1)


Record 9
The following is a PBE calculation of a relaxed structure of MnBe2Si, from Alexandria.

Summary:
The uncorrected formation energy comes out at 34 meV/atom. The calculation puts the mass density at 4.2 Mg/m³.

Cell: 5.414 5.414 5.414 Å, 90.00 90.00 90.00°
Space group F-43m (No. 216)
Asymmetric unit:
Mn 0.000 0.000 0.000 (multiplicity 4)
Be 0.000 0.000 0.500 (multiplicity 4)
Be 0.250 0.250 0.250 (multiplicity 4)
Si 0.250 0.250 0.750 (multiplicity 4)


Record 10
The following is a PBE calculation of a relaxed structure of Mn2BeSi, from Alexandria.

Summary:
The uncorrected formation energy comes out at -238 meV/atom. The calculation puts the mass density at 5.6 Mg/m³.

Cell: 5.181 6.405 2.614 Å, 90.00 90.00 90.00°
Space group Cmmm (No. 65)
Asymmetric unit:
Mn 0.250 0.250 0.000 (multiplicity 4)
Be 0.000 0.000 0.500 (multiplicity 2)
Si 0.000 0.500 0.500 (multiplicity 2)


Record 11
The following is a PBE calculation of a relaxed structure of MnBe2Si, from Alexandria.

Summary:
The uncorrected formation energy comes out at 2 meV/atom. The calculation puts the mass density at 4.1 Mg/m³.

Cell: 4.742 7.988 2.475 Å, 90.00 118.83 90.00°
Space group C2/m (No. 12)
Asymmetric unit:
Mn 0.000 0.000 0.000 (multiplicity 2)
Be 0.250 0.250 0.500 (multiplicity 4)
Si 0.000 0.500 0.000 (multiplicity 2)


Record 12
The following is a PBE calculation of a relaxed structure of Mn2BeSi, from Alexandria.

Summary:
The uncorrected formation energy comes out at -258 meV/atom. The calculation puts the mass density at 5.6 Mg/m³.

Cell: 3.621 3.621 3.325 Å, 90.00 90.00 90.00°
Space group P4/mmm (No. 123)
Asymmetric unit:
Mn 0.000 0.500 0.000 (multiplicity 2)
Be 0.000 0.000 0.500 (multiplicity 1)
Si 0.500 0.500 0.500 (multiplicity 1)